No. 1
Crystalline CsCaMnI2 at its relaxed geometry. Source: the Alexandria database, functional GGA-PBE.

- VASP energy: -12.818 eV per cell

Cell lengths 6.9217, 7.1259, 6.9217 Å; angles 90.00, 90.00, 90.00 degrees
With the nearest neighbours (Å) after each atom.
Fractional coordinates of all 5 atoms:
1 Ca 0.0000 0.5000 0.0000  2 Cs 3.56
2 Mn 0.5000 0.5000 0.5000  4 Ca 4.89, 8 I 4.97
3 I 0.0000 0.0000 0.5000  2 Cs 3.46
4 I 0.5000 0.0000 0.0000  2 Cs 3.46
5 Cs 0.0000 0.0000 0.0000  4 I 3.46, 2 Ca 3.56



No. 2
Crystalline CsCaMnI6 at its relaxed geometry. Source: the Alexandria database, functional GGA-PBE.

- VASP energy: -30.266 eV per cell

Cell lengths 7.7787, 7.7758, 8.5891 Å; angles 89.99, 89.99, 60.00 degrees
With the nearest neighbours (Å) after each atom.
Fractional coordinates of all 9 atoms:
1 I 0.3556 0.0310 0.6941  1 Mn 2.82, 1 Ca 3.13
2 I 0.3557 0.6134 0.3059  1 Mn 2.82, 1 Ca 3.13
3 I 0.6134 0.0308 0.3056  1 Mn 2.82, 1 Ca 3.13
4 I 0.6134 0.3558 0.6944  1 Mn 2.82, 1 Ca 3.13
5 I 0.0308 0.6135 0.6942  1 Mn 2.82, 1 Ca 3.13
6 I 0.0309 0.3557 0.3057  1 Mn 2.82, 1 Ca 3.13
7 Mn 0.3333 0.3333 0.5000  6 I 2.82
8 Ca 0.6667 0.6666 0.5000  6 I 3.13
9 Cs 0.9998 0.0000 0.0000  6 I 3.91



No. 3
Crystalline Cs3CaMn2I9 at its relaxed geometry. Source: the Alexandria database, functional GGA-PBE.

- VASP energy: -53.232 eV per cell

Cell lengths 8.4440, 8.4440, 10.3642 Å; angles 90.00, 90.00, 120.00 degrees
With the nearest neighbours (Å) after each atom.
Fractional coordinates of all 15 atoms:
1 I 0.8274 0.1726 0.6759  1 Mn 2.90, 1 Ca 3.11
2 I 0.3451 0.1726 0.6759  1 Mn 2.90, 1 Ca 3.11
3 I 0.1726 0.3451 0.3241  1 Mn 2.90, 1 Ca 3.11
4 I 0.5000 0.5000 0.0000  2 Mn 2.95
5 I 0.1726 0.8274 0.3241  1 Mn 2.90, 1 Ca 3.11
6 I 0.6549 0.8274 0.3241  1 Mn 2.90, 1 Ca 3.11
7 I 0.0000 0.5000 0.0000  2 Mn 2.95
8 I 0.5000 0.0000 0.0000  2 Mn 2.95
9 I 0.8274 0.6549 0.6759  1 Mn 2.90, 1 Ca 3.11
10 Mn 0.6667 0.3333 0.8398  6 I 2.90-2.95
11 Mn 0.3333 0.6667 0.1602  6 I 2.90-2.95
12 Cs 0.6667 0.3333 0.3281  12 I 4.18-4.30
13 Cs 0.3333 0.6667 0.6719  12 I 4.18-4.30
14 Cs 0.0000 0.0000 0.0000  12 I 4.20-4.22
15 Ca 0.0000 0.0000 0.5000  6 I 3.11



No. 4
Crystalline CsCa2MnI8 at its relaxed geometry. Source: the Alexandria database, functional GGA-PBE.

- VASP energy: -39.264 eV per cell

Cell lengths 7.8668, 7.2087, 9.7354 Å; angles 89.83, 89.81, 85.15 degrees
With the nearest neighbours (Å) after each atom.
Fractional coordinates of all 12 atoms:
1 Ca 0.4996 0.5002 0.2337  6 I 3.16-3.30
2 Ca 0.5004 0.4998 0.7663  6 I 3.16-3.30
3 I 0.7143 0.6096 0.4993  2 Ca 3.22-3.23
4 I 0.1444 0.7679 0.8113  1 Mn 2.67
5 I 0.1419 0.7657 0.1888  1 Mn 2.67
6 I 0.3487 0.2581 0.0007  2 Ca 3.16, 1 Mn 3.44
7 I 0.8581 0.2343 0.8112  1 Mn 2.67
8 I 0.2857 0.3904 0.5007  2 Ca 3.22-3.23
9 I 0.8556 0.2321 0.1887  1 Mn 2.67
10 I 0.6513 0.7419 0.9993  2 Ca 3.16, 1 Mn 3.44
11 Cs 0.0000 0.0000 0.5000  6 I 3.60-3.75
12 Mn 0.0000 0.0000 0.0000  4 I 2.67



No. 5
Crystalline CsCaMoPdI at its relaxed geometry. Source: the Alexandria database, functional GGA-PBE.

- Energy above the most stable polymorph in this dataset: 0.211 eV/atom
- VASP energy: -39.725 eV per cell

Cell lengths 9.0931, 3.9758, 10.9056 Å; angles 90.00, 106.45, 90.00 degrees
With the nearest neighbours (Å) after each atom.
Fractional coordinates of all 10 atoms:
1 Mo 0.7155 0.5000 0.1031  2 Pd 2.47
2 Mo 0.7155 0.0000 0.6031  2 Pd 2.47
3 Pd 0.5574 0.0000 0.0219  2 Mo 2.47
4 Pd 0.5574 0.5000 0.5219  2 Mo 2.47
5 Cs 0.2134 0.0000 0.5120  2 Pd 3.68, 3 I 3.85-3.90, 2 Cs 3.98
6 Cs 0.2134 0.5000 0.0120  2 Pd 3.68, 3 I 3.85-3.90, 2 Cs 3.98
7 I 0.9450 0.5000 0.6687  2 Mo 2.82
8 I 0.9450 0.0000 0.1687  2 Mo 2.82
9 Ca 0.6165 0.0000 0.3108  3 Pd 3.04-3.20, 3 Mo 3.06-3.32
10 Ca 0.6165 0.5000 0.8108  3 Pd 3.04-3.20, 3 Mo 3.06-3.32



No. 6
Crystalline CsCaMoPdI at its relaxed geometry. Source: the Alexandria database, functional GGA-PBE.

- Energy above the most stable polymorph in this dataset: 0.092 eV/atom
- VASP energy: -40.914 eV per cell

Cell lengths 11.1629, 4.2256, 7.4146 Å; angles 90.00, 102.72, 90.00 degrees
With the nearest neighbours (Å) after each atom.
Fractional coordinates of all 10 atoms:
1 Mo 0.5448 0.0000 0.2162  3 Pd 2.48
2 Mo 0.5448 0.5000 0.7163  3 Pd 2.48
3 Cs 0.2520 0.0000 0.4543  3 Pd 3.74-3.76, 3 I 3.95-3.96, 3 Mo 4.02-4.04
4 Cs 0.2520 0.5000 0.9543  3 Pd 3.74-3.76, 3 I 3.95-3.96, 3 Mo 4.02-4.04
5 Pd 0.5124 0.5000 0.3743  3 Mo 2.48
6 Pd 0.5124 0.0000 0.8743  3 Mo 2.48
7 I 0.9677 0.0000 0.6924  3 Ca 3.26
8 I 0.9677 0.5000 0.1924  3 Ca 3.26
9 Ca 0.7709 0.0000 0.9589  1 Pd 2.82
10 Ca 0.7709 0.5000 0.4589  1 Pd 2.82



No. 7
Crystalline CsCaMoPdI at its relaxed geometry. Source: the Alexandria database, functional GGA-PBE.

- Energy above the most stable polymorph in this dataset: 0.000 eV/atom
- VASP energy: -62.746 eV per cell

Cell lengths 4.3025, 4.3025, 31.0949 Å; angles 90.00, 90.00, 120.00 degrees
With the nearest neighbours (Å) after each atom.
Fractional coordinates of all 15 atoms:
1 Cs 0.6667 0.3333 0.2497  3 Mo 3.88, 3 I 3.90, 3 Pd 3.95, 6 Cs 4.30
2 Cs 0.3333 0.6667 0.5831  3 Mo 3.88, 3 I 3.90, 3 Pd 3.95, 6 Cs 4.30
3 Cs 0.0000 0.0000 0.9164  3 Mo 3.88, 3 I 3.90, 3 Pd 3.95, 6 Cs 4.30
4 Pd 0.0000 0.0000 0.4843  3 Mo 2.49
5 Pd 0.6667 0.3333 0.8176  3 Mo 2.49
6 Pd 0.3333 0.6667 0.1509  3 Mo 2.49
7 I 0.3333 0.6667 0.0131  3 Ca 3.30
8 I 0.6667 0.3333 0.6798  3 Ca 3.30
9 I 0.0000 0.0000 0.3464  3 Ca 3.30
10 Ca 0.0000 0.0000 0.7496  3 Pd 3.26, 3 I 3.30, 3 Mo 3.32
11 Ca 0.6667 0.3333 0.0830  3 Pd 3.26, 3 I 3.30, 3 Mo 3.32
12 Ca 0.3333 0.6667 0.4163  3 Pd 3.26, 3 I 3.30, 3 Mo 3.32
13 Mo 0.0000 0.0000 0.1540  3 Pd 2.49
14 Mo 0.3333 0.6667 0.8207  3 Pd 2.49
15 Mo 0.6667 0.3333 0.4873  3 Pd 2.49



No. 8
Crystalline CsCaMoPdI at its relaxed geometry. Source: the Alexandria database, functional GGA-PBE.

- Energy above the most stable polymorph in this dataset: 0.029 eV/atom
- VASP energy: -20.770 eV per cell

Cell lengths 4.2563, 4.2563, 10.6939 Å; angles 90.00, 90.00, 120.00 degrees
With the nearest neighbours (Å) after each atom.
Fractional coordinates of all 5 atoms:
1 Mo 0.0000 0.0000 0.4702  3 Pd 2.50
2 Cs 0.3333 0.6667 0.7639  1 Pd 3.60, 3 I 3.86, 3 Mo 3.99
3 Ca 0.6667 0.3333 0.2492  3 Pd 3.11, 3 I 3.31, 3 Mo 3.41
4 I 0.0000 0.0000 0.0420  3 Ca 3.31
5 Pd 0.3333 0.6667 0.4268  3 Mo 2.50



no.,formation energy (no corrections) (eV/atom)
1,0.4613
2,-0.9934
3,-1.0920
4,-1.0697
5,0.1134
6,-0.0055
7,-0.0972
8,-0.0681